VASP calculation (PBE-GGA) on an optimized crystal structure of NdSmPd10.

Computed properties:
ρ (Mg/m³): 10.14
VASP energy (eV for the cell shown): -67.6
E_form (eV/f.u.): -6.22

Cell lengths 4.5011, 5.3466, 9.2499 Å; angles 90.00, 90.00, 90.00 degrees
Last column: nearest neighbours and their distance in Å.
Space group Pmmm (No. 47)
One atom of each set of equivalent atoms:
Nd (0.0000, 0.0000, 0.0000) x1  6 Pd 3.09-3.10
Sm (0.0000, 0.5000, 0.5000) x1  6 Pd 3.07-3.08
Pd (0.0000, 0.0000, 0.3349) x2  6 Pd 2.72-2.73
Pd (0.0000, 0.5000, 0.1678) x2  6 Pd 2.73
Pd (0.5000, 0.0000, 0.5000) x1  8 Pd 2.67-2.72
Pd (0.5000, 0.2502, 0.2506) x4  8 Pd 2.67-2.73
Pd (0.5000, 0.5000, 0.0000) x1  8 Pd 2.68-2.73

---

VASP calculation (PBE-GGA) on an optimized crystal structure of Rb2MgMnI6.

Computed properties:
ρ (Mg/m³): 4.30
E_form (uncorrected) (eV per atom): -0.997
VASP energy (eV for the cell shown): -63.9
E above lowest polymorph (meV/atom): 0

Cell lengths 8.1054, 8.2700, 14.1890 Å; angles 90.00, 124.82, 90.00 degrees
Last column: nearest neighbours and their distance in Å.
Space group P2_1/c (No. 14)
One atom of each set of equivalent atoms:
Rb (0.2316, 0.0588, 0.2496) x4  8 I 3.69-3.95
Mg (0.5000, 0.0000, 0.0000) x2  6 I 2.96-3.00
Mn (0.0000, 0.0000, 0.5000) x2  6 I 2.92-2.96
I (0.1740, 0.2078, 0.9686) x4  1 Mn 2.96, 1 Mg 2.96
I (0.2589, 0.7039, 0.9683) x4  1 Mn 2.92, 1 Mg 3.00
I (0.3124, 0.9998, 0.7481) x4  1 Mn 2.94, 1 Mg 2.98

---

VASP calculation (PBE-GGA) on an optimized crystal structure of Ho3Er2Os2.

Computed properties:
ρ (Mg/m³): 11.34
VASP energy (eV for the cell shown): -94.4
E_form (eV/f.u.): -1.88

Cell lengths 11.8429, 3.9511, 8.1873 Å; angles 90.00, 112.37, 90.00 degrees
Last column: nearest neighbours and their distance in Å.
Space group C2/m (No. 12)
One atom of each set of equivalent atoms:
Ho (0.0000, 0.0000, 0.0000) x2  4 Os 2.93, 2 Ho 3.28
Ho (0.1251, 0.0000, 0.4322) x4  3 Os 2.88-2.95
Er (0.1663, 0.5000, 0.8177) x4  2 Os 2.79
Os (0.1776, 0.5000, 0.2143) x4  2 Er 2.79, 5 Ho 2.88-2.95